Crystalline Pm3Pr5As8 at its relaxed geometry, computed with PBE.

Cell lengths 8.564, 8.564, 8.564 Å; angles 60.02, 60.02, 60.02 degrees
Atoms (fractional coordinates):
1 Pm 0.000 0.500 0.500
2 Pm 0.500 0.000 0.500
3 Pm 0.500 0.500 0.000
4 Pr 0.000 0.000 0.000
5 Pr 0.000 0.000 0.500
6 Pr 0.000 0.500 0.000
7 Pr 0.500 0.000 0.000
8 Pr 0.500 0.500 0.500
9 As 0.250 0.250 0.747
10 As 0.250 0.747 0.250
11 As 0.251 0.251 0.251
12 As 0.253 0.750 0.750
13 As 0.747 0.250 0.250
14 As 0.749 0.749 0.749
15 As 0.750 0.253 0.750
16 As 0.750 0.750 0.253

Properties
**Formation energy**: -2330 kJ/mol of formula units
**Volume**: 27.77 A^3/atom
**Symmetry**: R-3m, No. 166
**VASP energy**: -99.5 eV per cell
**Spin magnetization**: 0.00 μB per formula unit